one | Below is Cs2LiCaF6 after structural relaxation, with properties calculated at the PBE level.

Computed properties:
SG   No. 123

a b c (Å): 4.527 4.527 8.668
angles (deg): 90.00 90.00 90.00
Atoms (fractional coordinates):
1 Cs 0.000 0.000 0.233
2 Cs 0.000 0.000 0.767
3 Li 0.500 0.500 0.000
4 Ca 0.500 0.500 0.500
5 F 0.000 0.500 0.000
6 F 0.000 0.500 0.500
7 F 0.500 0.000 0.000
8 F 0.500 0.000 0.500
9 F 0.500 0.500 0.232
10 F 0.500 0.500 0.768

---

two | Below is Cs2LiCaF6 after structural relaxation, with properties calculated at the PBE level.

Computed properties:
SG   No. 139

a b c (Å): 6.297 6.297 6.297
angles (deg): 120.08 120.08 89.87
Atoms (fractional coordinates):
1 Cs 0.250 0.750 0.500
2 Cs 0.750 0.250 0.500
3 Li 0.000 0.000 0.000
4 Ca 0.500 0.500 0.000
5 F 0.243 0.243 0.487
6 F 0.243 0.757 0.000
7 F 0.244 0.244 0.000
8 F 0.756 0.756 0.000
9 F 0.757 0.243 0.000
10 F 0.757 0.757 0.513

---

Of them, the most stable is one and the least stable is two.

---

one | Below is CsCaOF2 after structural relaxation, with properties calculated at the PBE level.

Computed properties:
SG   No. 123

a b c (Å): 5.126 5.126 4.648
angles (deg): 90.00 90.00 90.00
Atoms (fractional coordinates):
1 Cs 0.000 0.000 0.000
2 Ca 0.500 0.500 0.500
3 O 0.000 0.000 0.500
4 F 0.000 0.500 0.000
5 F 0.500 0.000 0.000

---

two | Below is CsCaOF2 after structural relaxation, with properties calculated at the PBE level.

Computed properties:
SG   No. 123

a b c (Å): 4.535 4.535 4.793
angles (deg): 90.00 90.00 90.00
Atoms (fractional coordinates):
1 Cs 0.000 0.000 0.000
2 Ca 0.500 0.500 0.500
3 O 0.500 0.500 0.000
4 F 0.000 0.500 0.500
5 F 0.500 0.000 0.500

---

Of them, the most stable is two and the least stable is one.

---

one | Below is CsCaFe2 after structural relaxation, with properties calculated at the PBE level.

Computed properties:
SG   No. 122

a b c (Å): 6.691 6.691 6.691
angles (deg): 101.69 101.69 126.49
Atoms (fractional coordinates):
1 Cs 0.000 0.000 0.000
2 Cs 0.750 0.250 0.500
3 Ca 0.250 0.750 0.500
4 Ca 0.500 0.500 0.000
5 Fe 0.132 0.625 0.007
6 Fe 0.375 0.382 0.507
7 Fe 0.618 0.125 0.993
8 Fe 0.875 0.868 0.493

---

two | Below is CsCaFe2 after structural relaxation, with properties calculated at the PBE level.

Computed properties:
SG   No. 225

a b c (Å): 5.428 5.428 5.428
angles (deg): 60.00 60.00 60.00
Atoms (fractional coordinates):
1 Cs 0.000 0.000 0.000
2 Ca 0.500 0.500 0.500
3 Fe 0.250 0.250 0.250
4 Fe 0.750 0.750 0.750

---

Of them, the most stable is two and the least stable is one.

---

one | Below is CsCaGe3 after structural relaxation, with properties calculated at the PBE level.

Computed properties:
SG   No. 221

a b c (Å): 5.667 5.667 5.667
angles (deg): 90.00 90.00 90.00
Atoms (fractional coordinates):
1 Cs 0.000 0.000 0.000
2 Ca 0.500 0.500 0.500
3 Ge 0.000 0.500 0.500
4 Ge 0.500 0.000 0.500
5 Ge 0.500 0.500 0.000

---

two | Below is CsCaGe3 after structural relaxation, with properties calculated at the PBE level.

Computed properties:
SG   No. 221

a b c (Å): 5.669 5.669 5.669
angles (deg): 90.00 90.00 90.00
Atoms (fractional coordinates):
1 Cs 0.000 0.000 0.000
2 Ca 0.500 0.500 0.500
3 Ge 0.000 0.000 0.500
4 Ge 0.000 0.500 0.000
5 Ge 0.500 0.000 0.000

---

Of them, the most stable is one and the least stable is two.

---

one | Below is Cs2CaH2 after structural relaxation, with properties calculated at the PBE level.

Computed properties:
SG   No. 139

a b c (Å): 8.008 8.008 8.008
angles (deg): 139.50 139.50 58.61
Atoms (fractional coordinates):
1 Cs 0.172 0.172 0.000
2 Cs 0.828 0.828 0.000
3 Ca 0.500 0.500 0.000
4 H 0.250 0.750 0.500
5 H 0.750 0.250 0.500

---

two | Below is Cs2CaH2 after structural relaxation, with properties calculated at the PBE level.

Computed properties:
SG   No. 127

a b c (Å): 8.562 8.562 4.549
angles (deg): 90.00 90.00 90.00
Atoms (fractional coordinates):
1 Cs 0.151 0.349 0.000
2 Cs 0.349 0.849 0.000
3 Cs 0.651 0.151 0.000
4 Cs 0.849 0.651 0.000
5 Ca 0.000 0.000 0.500
6 Ca 0.500 0.500 0.500
7 H 0.179 0.679 0.500
8 H 0.321 0.179 0.500
9 H 0.679 0.821 0.500
10 H 0.821 0.321 0.500

---

Of them, the most stable is two and the least stable is one.

---

one | Below is CsCa2H after structural relaxation, with properties calculated at the PBE level.

Computed properties:
SG   No. 166

a b c (Å): 10.854 10.854 10.854
angles (deg): 20.66 20.66 20.66
Atoms (fractional coordinates):
1 Cs 0.000 0.000 0.000
2 Ca 0.122 0.122 0.122
3 Ca 0.878 0.878 0.878
4 H 0.500 0.500 0.500

---

two | Below is CsCa2H after structural relaxation, with properties calculated at the PBE level.

Computed properties:
SG   No. 122

a b c (Å): 7.838 7.838 7.838
angles (deg): 119.99 119.99 90.02
Atoms (fractional coordinates):
1 Cs 0.000 0.000 0.000
2 Cs 0.750 0.250 0.500
3 Ca 0.374 0.625 0.249
4 Ca 0.375 0.624 0.749
5 Ca 0.376 0.125 0.751
6 Ca 0.875 0.626 0.251
7 H 0.250 0.750 0.500
8 H 0.500 0.500 0.000

---

Of them, the most stable is two and the least stable is one.

---

one | Below is CsCaHf3 after structural relaxation, with properties calculated at the PBE level.

Computed properties:
SG   No. 221

a b c (Å): 5.357 5.357 5.357
angles (deg): 90.00 90.00 90.00
Atoms (fractional coordinates):
1 Cs 0.000 0.000 0.000
2 Ca 0.500 0.500 0.500
3 Hf 0.000 0.000 0.500
4 Hf 0.000 0.500 0.000
5 Hf 0.500 0.000 0.000

---

two | Below is CsCaHf3 after structural relaxation, with properties calculated at the PBE level.

Computed properties:
SG   No. 221

a b c (Å): 5.522 5.522 5.522
angles (deg): 90.00 90.00 90.00
Atoms (fractional coordinates):
1 Cs 0.000 0.000 0.000
2 Ca 0.500 0.500 0.500
3 Hf 0.000 0.500 0.500
4 Hf 0.500 0.000 0.500
5 Hf 0.500 0.500 0.000

---

Of them, the most stable is one and the least stable is two.

---

one | Below is CsCaHg2 after structural relaxation, with properties calculated at the PBE level.

Computed properties:
SG   No. 166

a b c (Å): 9.786 9.786 9.786
angles (deg): 26.11 26.11 26.11
Atoms (fractional coordinates):
1 Cs 0.000 0.000 0.000
2 Ca 0.500 0.500 0.500
3 Hg 0.234 0.234 0.234
4 Hg 0.766 0.766 0.766

---

two | Below is CsCaHg2 after structural relaxation, with properties calculated at the PBE level.

Computed properties:
SG   No. 123

a b c (Å): 5.983 5.983 3.921
angles (deg): 90.00 90.00 90.00
Atoms (fractional coordinates):
1 Cs 0.000 0.000 0.000
2 Ca 0.500 0.500 0.000
3 Hg 0.000 0.500 0.500
4 Hg 0.500 0.000 0.500

---

three | Below is CsCaHg2 after structural relaxation, with properties calculated at the PBE level.

Computed properties:
SG   No. 225

a b c (Å): 5.921 5.921 5.921
angles (deg): 60.00 60.00 60.00
Atoms (fractional coordinates):
1 Cs 0.000 0.000 0.000
2 Ca 0.500 0.500 0.500
3 Hg 0.250 0.250 0.250
4 Hg 0.750 0.750 0.750

---

Of them, the most stable is one and the least stable is three.

---

one | Below is Cs2CaHg after structural relaxation, with properties calculated at the PBE level.

Computed properties:
SG   No. 122

a b c (Å): 10.017 10.017 10.017
angles (deg): 95.58 95.58 143.65
Atoms (fractional coordinates):
1 Cs 0.375 0.011 0.136
2 Cs 0.761 0.625 0.636
3 Cs 0.875 0.239 0.864
4 Cs 0.989 0.125 0.364
5 Ca 0.250 0.750 0.500
6 Ca 0.500 0.500 0.000
7 Hg 0.000 0.000 0.000
8 Hg 0.750 0.250 0.500

---

two | Below is Cs2CaHg after structural relaxation, with properties calculated at the PBE level.

Computed properties:
SG   No. 166

a b c (Å): 14.268 14.268 14.268
angles (deg): 17.82 17.82 17.82
Atoms (fractional coordinates):
1 Cs 0.100 0.100 0.100
2 Cs 0.900 0.900 0.900
3 Ca 0.000 0.000 0.000
4 Hg 0.500 0.500 0.500

---

Of them, the most stable is one and the least stable is two.

---

one | Below is CsCa3Hg after structural relaxation, with properties calculated at the PBE level.

Computed properties:
SG   No. 221

a b c (Å): 5.851 5.851 5.851
angles (deg): 90.00 90.00 90.00
Atoms (fractional coordinates):
1 Cs 0.000 0.000 0.000
2 Ca 0.000 0.000 0.500
3 Ca 0.000 0.500 0.000
4 Ca 0.500 0.000 0.000
5 Hg 0.500 0.500 0.500

---

two | Below is CsCa3Hg after structural relaxation, with properties calculated at the PBE level.

Computed properties:
SG   No. 221

a b c (Å): 6.166 6.166 6.166
angles (deg): 90.00 90.00 90.00
Atoms (fractional coordinates):
1 Cs 0.000 0.000 0.000
2 Ca 0.000 0.500 0.500
3 Ca 0.500 0.000 0.500
4 Ca 0.500 0.500 0.000
5 Hg 0.500 0.500 0.500

---

Of them, the most stable is two and the least stable is one.

---

one | Below is CsCa4I8 after structural relaxation, with properties calculated at the PBE level.

Computed properties:
SG   No. 216

a b c (Å): 9.783 9.783 9.783
angles (deg): 60.00 60.00 60.00
Atoms (fractional coordinates):
1 Cs 0.000 0.000 0.000
2 Ca 0.380 0.380 0.380
3 Ca 0.380 0.380 0.861
4 Ca 0.380 0.861 0.380
5 Ca 0.861 0.380 0.380
6 I 0.147 0.147 0.147
7 I 0.147 0.147 0.559
8 I 0.147 0.559 0.147
9 I 0.165 0.612 0.612
10 I 0.559 0.147 0.147
11 I 0.612 0.165 0.612
12 I 0.612 0.612 0.165
13 I 0.612 0.612 0.612

---

two | Below is CsCa4I8 after structural relaxation, with properties calculated at the PBE level.

Computed properties:
SG   No. 8

a b c (Å): 10.978 10.978 14.864
angles (deg): 128.01 128.01 24.13
Atoms (fractional coordinates):
1 Cs 0.000 0.000 0.000
2 Ca 0.147 0.147 0.467
3 Ca 0.335 0.335 0.167
4 Ca 0.664 0.664 0.832
5 Ca 0.853 0.853 0.532
6 I 0.038 0.038 0.756
7 I 0.295 0.295 0.923
8 I 0.336 0.336 0.664
9 I 0.373 0.373 0.409
10 I 0.627 0.627 0.591
11 I 0.664 0.664 0.335
12 I 0.704 0.704 0.077
13 I 0.962 0.962 0.243

---

Of them, the most stable is two and the least stable is one.

---

one | Below is CsCa2I2 after structural relaxation, with properties calculated at the PBE level.

Computed properties:
SG   No. 127

a b c (Å): 11.019 11.019 3.990
angles (deg): 90.00 90.00 90.00
Atoms (fractional coordinates):
1 Cs 0.000 0.000 0.000
2 Cs 0.500 0.500 0.000
3 Ca 0.125 0.375 0.500
4 Ca 0.375 0.875 0.500
5 Ca 0.625 0.125 0.500
6 Ca 0.875 0.625 0.500
7 I 0.124 0.624 0.000
8 I 0.376 0.124 0.000
9 I 0.624 0.876 0.000
10 I 0.876 0.376 0.000

---

two | Below is CsCa2I2 after structural relaxation, with properties calculated at the PBE level.

Computed properties:
SG   No. 139

a b c (Å): 8.105 8.105 8.105
angles (deg): 137.64 137.64 61.45
Atoms (fractional coordinates):
1 Cs 0.000 0.000 0.000
2 Ca 0.369 0.369 0.000
3 Ca 0.631 0.631 0.000
4 I 0.250 0.750 0.500
5 I 0.750 0.250 0.500

---

Of them, the most stable is two and the least stable is one.